Crystalline Th2ScPa at its relaxed geometry. Source: the Alexandria database, functional PBE-GGA.

a b c (Å): 4.931 4.931 4.664
angles (deg): 90.00 90.00 90.00
Space group P4/mmm (No. 123)
Inequivalent atoms, fractional coordinates:
Th 0.000 0.500 0.000 x2
Sc 0.000 0.000 0.500 x1
Pa 0.500 0.500 0.500 x1

The calculation puts the mass density at 10.84 Mg/m³. The calculation puts the size of the total moment at 0.00 Bohr magnetons per cell. The total energy is -30.08 eV for the cell shown. For the formation energy from the elements, the calculation gives 147 meV/atom.


Crystalline ThSc2Pa at its relaxed geometry. Source: the Alexandria database, functional PBE-GGA.

a b c (Å): 5.3149 5.3149 13.0131
angles (deg): 90.00 90.00 120.00
Space group R-3m (No. 166, hexagonal axes)
Inequivalent atoms, fractional coordinates:
Th 0.0000 0.0000 0.0000 x3
Sc 0.0000 0.0000 0.2505 x6
Pa 0.0000 0.0000 0.5000 x3

The calculation puts the mass density at 8.65 Mg/m³. The calculation puts the size of the total moment at 0.02 Bohr magnetons per cell. The total energy is -85.79 eV for the cell shown. For the formation energy from the elements, the calculation gives 245 meV/atom.


Crystalline Th2ScPa at its relaxed geometry. Source: the Alexandria database, functional PBE-GGA.

a b c (Å): 7.674 7.674 7.674
angles (deg): 90.00 90.00 90.00
Space group Fm-3m (No. 225)
Inequivalent atoms, fractional coordinates:
Th 0.250 0.250 0.250 x8
Sc 0.000 0.000 0.000 x4
Pa 0.000 0.000 0.500 x4

The calculation puts the mass density at 10.88 Mg/m³. The calculation puts the size of the total moment at 0.01 Bohr magnetons per cell. The total energy is -119.20 eV for the cell shown. For the formation energy from the elements, the calculation gives 217 meV/atom.


Crystalline Th2ScPa at its relaxed geometry. Source: the Alexandria database, functional PBE-GGA.

a b c (Å): 3.483 3.483 9.368
angles (deg): 90.00 90.00 90.00
Space group P4/mmm (No. 123)
Inequivalent atoms, fractional coordinates:
Th 0.000 0.000 0.249 x2
Sc 0.500 0.500 0.000 x1
Pa 0.500 0.500 0.500 x1

The calculation puts the mass density at 10.81 Mg/m³. The calculation puts the size of the total moment at 0.00 Bohr magnetons per cell. The total energy is -30.39 eV for the cell shown. For the formation energy from the elements, the calculation gives 68 meV/atom.


Crystalline TmThScPa at its relaxed geometry. Source: the Alexandria database, functional PBE-GGA.

a b c (Å): 7.668 7.668 7.668
angles (deg): 90.00 90.00 90.00
Space group F-43m (No. 216)
Inequivalent atoms, fractional coordinates:
Tm 0.000 0.000 0.000 x4
Th 0.250 0.250 0.750 x4
Sc 0.250 0.250 0.250 x4
Pa 0.000 0.000 0.500 x4

The calculation puts the mass density at 9.97 Mg/m³. The calculation puts the size of the total moment at 0.27 Bohr magnetons per cell. The total energy is -105.68 eV for the cell shown. For the formation energy from the elements, the calculation gives 325 meV/atom.


Crystalline Sc2PaTi at its relaxed geometry. Source: the Alexandria database, functional PBE-GGA.

a b c (Å): 3.082 3.082 9.398
angles (deg): 90.00 90.00 90.00
Space group P4/mmm (No. 123)
Inequivalent atoms, fractional coordinates:
Sc 0.000 0.000 0.230 x2
Pa 0.500 0.500 0.500 x1
Ti 0.500 0.500 0.000 x1

The calculation puts the mass density at 6.86 Mg/m³. The calculation puts the size of the total moment at 0.00 Bohr magnetons per cell. The total energy is -29.46 eV for the cell shown. For the formation energy from the elements, the calculation gives 147 meV/atom.


Crystalline ScPa2Ti at its relaxed geometry. Source: the Alexandria database, functional PBE-GGA.

a b c (Å): 3.050 3.050 9.788
angles (deg): 90.00 90.00 90.00
Space group P4/mmm (No. 123)
Inequivalent atoms, fractional coordinates:
Sc 0.000 0.000 0.000 x1
Pa 0.500 0.500 0.265 x2
Ti 0.000 0.000 0.500 x1

The calculation puts the mass density at 10.12 Mg/m³. The calculation puts the size of the total moment at 0.00 Bohr magnetons per cell. The total energy is -32.60 eV for the cell shown. For the formation energy from the elements, the calculation gives 155 meV/atom.


Crystalline Sc2PaTi at its relaxed geometry. Source: the Alexandria database, functional PBE-GGA.

a b c (Å): 4.331 4.331 4.732
angles (deg): 90.00 90.00 90.00
Space group P4/mmm (No. 123)
Inequivalent atoms, fractional coordinates:
Sc 0.000 0.500 0.000 x2
Pa 0.000 0.000 0.500 x1
Ti 0.500 0.500 0.500 x1

The calculation puts the mass density at 6.90 Mg/m³. The calculation puts the size of the total moment at 0.00 Bohr magnetons per cell. The total energy is -29.49 eV for the cell shown. For the formation energy from the elements, the calculation gives 141 meV/atom.


Crystalline ScPa2Ti at its relaxed geometry. Source: the Alexandria database, functional PBE-GGA.

a b c (Å): 5.0473 5.0473 12.4850
angles (deg): 90.00 90.00 120.00
Space group R-3m (No. 166, hexagonal axes)
Inequivalent atoms, fractional coordinates:
Sc 0.0000 0.0000 0.0000 x3
Pa 0.0000 0.0000 0.2495 x6
Ti 0.0000 0.0000 0.5000 x3

The calculation puts the mass density at 10.04 Mg/m³. The calculation puts the size of the total moment at 0.27 Bohr magnetons per cell. The total energy is -95.42 eV for the cell shown. For the formation energy from the elements, the calculation gives 353 meV/atom.


Crystalline ScPa2Ti at its relaxed geometry. Source: the Alexandria database, functional PBE-GGA.

a b c (Å): 4.333 4.333 4.847
angles (deg): 90.00 90.00 90.00
Space group P4/mmm (No. 123)
Inequivalent atoms, fractional coordinates:
Sc 0.000 0.000 0.000 x1
Pa 0.000 0.500 0.500 x2
Ti 0.500 0.500 0.000 x1

The calculation puts the mass density at 10.12 Mg/m³. The calculation puts the size of the total moment at 0.00 Bohr magnetons per cell. The total energy is -32.52 eV for the cell shown. For the formation energy from the elements, the calculation gives 175 meV/atom.


Crystalline ScPa2Ti at its relaxed geometry. Source: the Alexandria database, functional PBE-GGA.

a b c (Å): 3.1454 3.1454 31.8715
angles (deg): 90.00 90.00 120.00
Space group R3m (No. 160, hexagonal axes)
Inequivalent atoms, fractional coordinates:
Sc 0.0000 0.0000 0.0000 x3
Pa 0.0000 0.0000 0.2481 x3
Pa 0.0000 0.0000 0.4211 x3
Ti 0.0000 0.0000 0.8344 x3

The calculation puts the mass density at 10.12 Mg/m³. The calculation puts the size of the total moment at 0.00 Bohr magnetons per cell. The total energy is -98.21 eV for the cell shown. For the formation energy from the elements, the calculation gives 121 meV/atom.


Crystalline Sc2PaTi at its relaxed geometry. Source: the Alexandria database, functional PBE-GGA.

a b c (Å): 7.097 7.097 7.097
angles (deg): 90.00 90.00 90.00
Space group Fm-3m (No. 225)
Inequivalent atoms, fractional coordinates:
Sc 0.250 0.250 0.250 x8
Pa 0.000 0.000 0.000 x4
Ti 0.000 0.000 0.500 x4

The calculation puts the mass density at 6.85 Mg/m³. The calculation puts the size of the total moment at 0.01 Bohr magnetons per cell. The total energy is -115.75 eV for the cell shown. For the formation energy from the elements, the calculation gives 279 meV/atom.


The lowest mass density belongs to which entry? number 12